[1]
DFT (GGA-PBE) results for a relaxed TlCuC crystal.

Its crystal system is orthorhombic. The total energy is -12.3 eV per formula unit.

a b c (Å): 8.681 3.678 7.249
angles (deg): 90.00 90.00 90.00
Space group Pnma (No. 62)
Asymmetric unit:
Tl  0.121  0.250  0.107 x4
Cu  0.086  0.750  0.470 x4
C  0.139  0.250  0.441 x4

---

[2]
DFT (GGA-PBE) results for a relaxed Pm2ThFe9 crystal.

Its crystal system is trigonal. The total energy is -93.2 eV per formula unit.

a b c (Å): 5.1455 5.1455 24.9893
angles (deg): 90.00 90.00 120.00
Space group R-3m (No. 166, hexagonal axes)
Asymmetric unit:
Pm  0.0000  0.0000  0.1420 x6
Th  0.0000  0.0000  0.0000 x3
Fe  0.0000  0.0000  0.3325 x6
Fe  0.0000  0.0000  0.5000 x3
Fe  0.0033  0.5017  0.0808 x18